# SrNbMoO2

A geometry-optimized SrNbMoO2 structure (GGA+U, Alexandria via LeMat-Bulk).

Structure (POSCAR):
```
SrNbMoO2
1.0
-3.344 2.415 -0.550
0.154 -0.912 -4.939
-2.474 -3.304 0.533
Sr Mo Nb O
1 1 1 2
Cartesian
-2.832 -0.900 -2.478
0.000 0.000 0.000
0.077 -0.456 -2.470
-1.237 -1.652 0.266
-1.672 1.208 -0.275
```

Calculated values
Total energy, eV/f.u.: -28.92
Symmetry: No. 123
Total magnetization, μB/f.u.: 0.0